No. 1
Material: AcSmGdTh
Method: DFT, PBE
State: optimized geometry

a = 8.2766 Å, b = 8.2766 Å, c = 8.2766 Å
α = 90.00°, β = 90.00°, γ = 90.00°
Space group F-43m (No. 216)
One atom of each set of equivalent atoms:
Ac (0.0000, 0.0000, 0.0000) [4 per cell]
Sm (0.2500, 0.2500, 0.2500) [4 per cell]
Gd (0.2500, 0.2500, 0.7500) [4 per cell]
Th (0.0000, 0.0000, 0.5000) [4 per cell]

=====

No. 2
Material: AcSmGdTm
Method: DFT, PBE
State: optimized geometry

a = 8.2660 Å, b = 8.2660 Å, c = 8.2660 Å
α = 90.00°, β = 90.00°, γ = 90.00°
Space group F-43m (No. 216)
One atom of each set of equivalent atoms:
Ac (0.0000, 0.0000, 0.0000) [4 per cell]
Sm (0.0000, 0.0000, 0.5000) [4 per cell]
Gd (0.2500, 0.2500, 0.2500) [4 per cell]
Tm (0.2500, 0.2500, 0.7500) [4 per cell]

=====

Number 1: formation energy from the elements 165 meV per atom. Number 2: formation energy from the elements 113 meV per atom.